No. 1
DFT (PBE) results for RbPmTeSe after structural relaxation.

Results
Energy in eV per atom: -4.624
E_form (uncorrected) in eV per atom: -1.538
Total moment in μB per atom: 0.000
Volume in Å³/f.u.: 145.6

Lattice parameters (Å, degrees): 4.4503 4.4503 25.4610 90.00 90.00 120.00
Space group R3m (No. 160, hexagonal axes)
Unique sites:
Rb: 0.0000 0.0000 0.0000 [3 per cell]
Pm: 0.0000 0.0000 0.1604 [3 per cell]
Te: 0.0000 0.0000 0.5667 [3 per cell]
Se: 0.0000 0.0000 0.7666 [3 per cell]


No. 2
DFT (PBE) results for CePbO2 after structural relaxation.

Results
Energy in eV per atom: -6.462
E_form (uncorrected) in eV per atom: -1.572
Total moment in μB per atom: 0.107
Volume in Å³/f.u.: 91.4

Lattice parameters (Å, degrees): 3.9773 3.9773 20.0180 90.00 90.00 120.00
Space group R-3m (No. 166, hexagonal axes)
Unique sites:
Ce: 0.0000 0.0000 0.0000 [3 per cell]
Pb: 0.0000 0.0000 0.5000 [3 per cell]
O: 0.0000 0.0000 0.1027 [6 per cell]


Among the records above, which one has the lowest volume? CePbO2